(1)
The following is a PBE calculation of Ca2ZnB after structural relaxation, from Alexandria.

Summary:
E_form ... 0.282 eV per atom
Polymorph energy (0 for the lowest one) ... 0.0000 eV/atom

Unit cell a=4.898 b=4.898 c=4.898 alpha=60.00 beta=60.00 gamma=60.00
Sites, in units of the cell vectors:
Ca  0.750  0.750  0.750
Ca  0.250  0.250  0.250
Zn  0.500  0.500  0.500
B  0.000  0.000  0.000

---

(2)
The following is a PBE calculation of Ca3ZrB after structural relaxation, from Alexandria.

Summary:
E_form ... 0.653 eV per atom
Polymorph energy (0 for the lowest one) ... 0.0000 eV/atom

Unit cell a=5.305 b=5.305 c=5.305 alpha=90.00 beta=90.00 gamma=90.00
Last column: magnetic moment on the atom in μB.
Sites, in units of the cell vectors:
B  0.000  0.000  0.000  -0.23
Zr  0.500  0.500  0.500  1.46
Ca  0.000  0.500  0.000  0.02
Ca  0.500  0.000  0.000  0.04
Ca  0.000  0.000  0.500  0.05